# 1
20
Lattice="6.923 0.000 0.000 0.000 7.817 0.000 -6.521 0.000 9.583" Properties=species:S:1:pos:R:3 comment="NdSiSe3 | the Alexandria database | PBE | relaxed" magmom_total_mub_per_fu=0.000 formation_energy_uncorrected_ev_per_atom=-1.164 polymorph_energy_kj_per_mol_atoms=0.00 pbc="T T T"
Nd -0.172 0.985 2.411
Nd -3.432 2.923 7.203
Nd 3.835 4.894 2.380
Nd 0.575 6.831 7.172
Si 0.555 4.688 0.632
Si -2.705 7.038 5.423
Si 3.108 0.779 4.159
Si -0.152 3.129 8.951
Se -5.548 1.408 8.943
Se -2.288 2.501 4.152
Se -4.148 5.381 9.007
Se -0.888 6.344 4.216
Se -2.182 0.161 7.428
Se 1.079 3.748 2.636
Se -0.676 4.069 6.946
Se 2.584 7.656 2.155
Se 1.291 1.473 5.367
Se 4.551 2.436 0.576
Se 2.691 5.316 5.431
Se 5.951 6.409 0.640

# 2
18
Lattice="6.932 0.000 0.000 0.000 7.699 0.000 -6.516 0.000 8.700" Properties=species:S:1:pos:R:3 comment="Nd2SiSe6 | the Alexandria database | PBE | relaxed" magmom_total_mub_per_fu=0.000 formation_energy_uncorrected_ev_per_atom=-0.996 pbc="T T T"
Nd -0.118 0.824 2.175
Nd -3.377 3.025 6.524
Nd 3.792 4.674 2.175
Nd 0.534 6.875 6.525
Si 3.466 0.000 0.000
Si 0.208 3.850 4.350
Se -5.142 1.300 8.210
Se -1.884 2.550 3.860
Se -4.240 5.497 8.226
Se -0.982 6.052 3.876
Se -2.260 0.242 6.450
Se 0.998 3.608 2.100
Se -0.583 4.091 6.599
Se 2.675 7.457 2.250
Se 1.397 1.647 4.824
Se 4.655 2.202 0.474
Se 2.299 5.149 4.839
Se 5.557 6.399 0.489

# 3
4
Lattice="2.093 1.208 6.936 -2.093 1.208 6.936 0.000 -2.416 6.936" Properties=species:S:1:pos:R:3 comment="TbNdSiSe | the Alexandria database | PBE | relaxed" magmom_total_mub_per_fu=0.000 formation_energy_uncorrected_ev_per_atom=-1.298 pbc="T T T"
Tb 0.000 0.000 0.000
Nd 0.000 0.000 10.566
Si 0.000 0.000 5.329
Se 0.000 0.000 15.618

# 4
8
Lattice="7.415 0.000 0.000 0.000 4.302 0.000 -2.511 0.000 7.178" Properties=species:S:1:pos:R:3 comment="Nd4SiTeSe2 | the Alexandria database | PBE | relaxed" magmom_total_mub_per_fu=0.000 formation_energy_uncorrected_ev_per_atom=-1.499 pbc="T T T"
Nd 1.244 0.000 1.626
Nd -0.031 2.151 5.510
Nd 4.935 2.151 1.668
Nd 3.660 0.000 5.552
Si 3.708 0.000 0.000
Te 2.452 2.151 3.589
Se -1.256 0.000 3.589
Se 0.000 2.151 0.000

# 5
12
Lattice="9.647 -2.173 0.000 9.647 2.173 0.000 -2.281 0.000 8.591" Properties=species:S:1:pos:R:3 comment="Nd6Si2Te3Se | the Alexandria database | PBE | relaxed" magmom_total_mub_per_fu=0.000 formation_energy_uncorrected_ev_per_atom=-1.331 pbc="T T T"
Nd -0.353 0.000 2.090
Nd 5.324 0.000 3.714
Nd 4.427 0.000 7.683
Nd 12.587 0.000 0.907
Nd 11.690 0.000 4.877
Nd 17.367 0.000 6.501
Si 2.456 0.000 2.854
Si 14.558 0.000 5.736
Te 1.261 0.000 7.166
Te 8.507 0.000 4.295
Te 15.753 0.000 1.425
Se 9.647 0.000 0.000

# 6
15
Lattice="4.304 2.485 7.246 -4.304 2.485 7.246 0.000 -4.970 7.246" Properties=species:S:1:pos:R:3 comment="Nd8SiTe3Se3 | the Alexandria database | PBE | relaxed" magmom_total_mub_per_fu=0.000 formation_energy_uncorrected_ev_per_atom=-1.420 pbc="T T T"
Nd 0.000 0.000 5.216
Nd -2.111 -1.219 12.482
Nd 0.000 -2.437 9.255
Nd -2.111 1.219 9.255
Nd 2.111 -1.219 12.482
Nd 0.000 2.437 12.482
Nd 2.111 1.219 9.255
Nd 0.000 0.000 16.521
Si 0.000 0.000 10.869
Te -2.152 -1.243 7.246
Te -2.152 1.243 14.491
Te 0.000 2.485 7.246
Se -4.304 0.000 10.869
Se -2.152 1.243 3.623
Se 2.152 1.243 3.623

# 7
14
Lattice="6.828 0.000 0.000 0.000 6.925 0.000 -2.699 0.000 8.653" Properties=species:S:1:pos:R:3 comment="NdTlSiSe4 | the Alexandria database | PBE | relaxed" magmom_total_mub_per_fu=0.000 formation_energy_uncorrected_ev_per_atom=-1.008 pbc="T T T"
Nd 1.449 1.731 0.471
Nd 2.681 5.194 8.182
Tl 0.198 1.731 4.901
Tl 3.932 5.194 3.751
Si -0.713 5.194 7.080
Si 4.843 1.731 1.573
Se -0.576 3.507 1.929
Se -0.576 6.880 1.929
Se 2.585 5.194 0.640
Se 1.059 5.194 5.673
Se 3.071 1.731 2.980
Se 1.545 1.731 8.013
Se 4.706 0.045 6.724
Se 4.706 3.418 6.724

# 8
20
Lattice="6.136 3.542 4.885 -6.136 3.542 4.885 0.000 -7.085 4.885" Properties=species:S:1:pos:R:3 comment="NdSm3Se6 | the Alexandria database | PBE | relaxed" magmom_total_mub_per_fu=0.000 formation_energy_uncorrected_ev_per_atom=-1.840 polymorph_energy_kj_per_mol_atoms=4.02 pbc="T T T"
Nd 0.000 0.000 0.000
Nd 0.000 0.000 7.328
Sm -3.127 -2.998 6.794
Sm -4.160 1.209 7.862
Sm 1.033 -4.207 7.862
Sm -1.033 4.207 6.794
Sm 4.160 -1.209 6.794
Sm 3.127 2.998 7.862
Se -5.338 -1.471 7.897
Se -1.395 -5.359 6.759
Se -2.526 -0.205 5.826
Se -3.943 3.887 6.759
Se -1.086 -2.290 8.830
Se 1.441 -2.085 5.826
Se -1.441 2.085 8.830
Se 1.086 2.290 5.826
Se 3.943 -3.887 7.897
Se 2.526 0.205 8.830
Se 1.395 5.359 7.897
Se 5.338 1.471 6.759

# 9
11
Lattice="3.628 -6.258 0.000 3.628 6.258 0.000 -2.410 0.000 6.826" Properties=species:S:1:pos:R:3 comment="Nd2Sm3Se6 | the Alexandria database | PBE | relaxed" magmom_total_mub_per_fu=0.000 formation_energy_uncorrected_ev_per_atom=-1.889 pbc="T T T"
Nd 3.628 4.189 0.000
Nd 3.628 -4.189 0.000
Sm -1.205 0.000 3.413
Sm 2.423 2.061 3.413
Sm 2.423 -2.061 3.413
Se 0.022 2.061 5.103
Se 1.256 0.000 1.695
Se 0.022 -2.061 5.103
Se 4.825 2.061 1.723
Se 3.591 0.000 5.132
Se 4.825 -2.061 1.723

# 10
16
Lattice="4.143 0.000 0.000 -2.072 3.588 0.000 0.000 0.000 27.997" Properties=species:S:1:pos:R:3 comment="NdSm3Se4 | the Alexandria database | PBE | relaxed" magmom_total_mub_per_fu=0.000 formation_energy_uncorrected_ev_per_atom=-1.813 polymorph_energy_kj_per_mol_atoms=0.68 pbc="T T T"
Nd 0.000 2.392 6.999
Nd 2.072 1.196 20.998
Sm 0.000 0.000 0.000
Sm 0.000 0.000 13.999
Sm 0.000 2.392 17.443
Sm 0.000 2.392 24.553
Sm 2.072 1.196 3.444
Sm 2.072 1.196 10.554
Se 0.000 0.000 5.169
Se 0.000 0.000 8.829
Se 0.000 0.000 19.168
Se 0.000 0.000 22.828
Se 0.000 2.392 1.733
Se 0.000 2.392 12.266
Se 2.072 1.196 15.731
Se 2.072 1.196 26.265

# 11
3
Lattice="4.000 0.000 0.000 -2.000 3.464 0.000 0.000 0.000 6.722" Properties=species:S:1:pos:R:3 comment="NdSmSe | the Alexandria database | PBE | relaxed" magmom_total_mub_per_fu=1.121 formation_energy_uncorrected_ev_per_atom=-1.099 polymorph_energy_kj_per_mol_atoms=0.00 pbc="T T T"
Nd 0.000 0.000 0.000
Sm 0.000 2.309 3.705
Se 2.000 1.155 1.884

# 12
15
Lattice="5.921 -5.922 0.000 5.921 5.922 0.000 -5.910 0.000 5.923" Properties=species:S:1:pos:R:3 comment="Nd3Sm4Se8 | the Alexandria database | PBE | relaxed" magmom_total_mub_per_fu=0.000 formation_energy_uncorrected_ev_per_atom=-1.871 pbc="T T T"
Nd 0.000 0.000 0.000
Nd 2.960 2.961 0.000
Nd 2.960 -2.961 0.000
Sm 0.005 2.961 2.961
Sm 0.005 -2.961 2.961
Sm 5.921 0.000 0.000
Sm 2.966 0.000 2.961
Se 2.966 2.982 2.961
Se -0.018 0.000 2.980
Se -2.931 0.000 5.903
Se 5.921 2.942 0.000
Se 5.921 -2.942 0.000
Se 8.862 0.000 0.019
Se 5.949 0.000 2.943
Se 2.966 -2.982 2.961

# 13
10
Lattice="-2.107 2.107 14.960 2.107 -2.107 14.960 2.107 2.107 -14.960" Properties=species:S:1:pos:R:3 comment="Nd4SmSe5 | the Alexandria database | PBE | relaxed" magmom_total_mub_per_fu=0.000 formation_energy_uncorrected_ev_per_atom=-1.832 pbc="T T T"
Nd 0.000 0.000 3.033
Nd 0.000 0.000 9.066
Nd 0.000 0.000 20.854
Nd 0.000 0.000 26.888
Sm 0.000 0.000 14.960
Se 0.000 0.000 0.000
Se 0.000 0.000 6.039
Se 0.000 0.000 12.031
Se 0.000 0.000 17.890
Se 0.000 0.000 23.882

# 14
6
Lattice="3.885 0.000 0.000 -1.942 3.364 0.000 0.000 0.000 13.894" Properties=species:S:1:pos:R:3 comment="NdSmSe | the Alexandria database | PBE | relaxed" magmom_total_mub_per_fu=0.534 formation_energy_uncorrected_ev_per_atom=-1.080 polymorph_energy_kj_per_mol_atoms=1.84 pbc="T T T"
Nd 0.000 0.000 2.945
Nd 0.000 0.000 10.949
Sm 0.000 0.000 6.947
Sm 1.942 1.121 0.000
Se 1.942 1.121 5.006
Se 1.942 1.121 8.888

# 15
18
Lattice="7.475 -3.937 0.000 7.475 3.937 0.000 0.000 0.000 7.868" Properties=species:S:1:pos:R:3 comment="Nd2Sm2Se5 | the Alexandria database | PBE | relaxed" magmom_total_mub_per_fu=0.000 formation_energy_uncorrected_ev_per_atom=-1.793 pbc="T T T"
Nd 2.949 0.000 0.000
Nd 4.526 0.000 3.934
Nd 10.424 0.000 3.934
Nd 12.001 0.000 0.000
Sm 7.475 2.746 5.167
Sm 7.475 1.191 1.234
Sm 7.475 -1.191 6.634
Sm 7.475 -2.746 2.700
Se 0.000 0.000 0.000
Se 5.411 2.689 2.723
Se 5.411 1.248 6.657
Se 9.539 2.689 2.723
Se 9.539 1.248 6.657
Se 7.475 0.000 3.934
Se 5.411 -1.248 1.211
Se 5.411 -2.689 5.145
Se 9.539 -1.248 1.211
Se 9.539 -2.689 5.145

# 16
10
Lattice="-2.109 2.979 10.571 2.109 -2.979 10.571 2.109 2.979 -10.571" Properties=species:S:1:pos:R:3 comment="Nd4SmSe5 | the Alexandria database | PBE | relaxed" magmom_total_mub_per_fu=0.000 formation_energy_uncorrected_ev_per_atom=-1.830 pbc="T T T"
Nd 0.000 0.000 2.118
Nd 0.000 0.000 6.360
Nd 0.000 0.000 14.782
Nd 0.000 0.000 19.024
Sm 0.000 0.000 10.571
Se 2.109 0.000 0.000
Se 2.109 0.000 4.237
Se 2.109 0.000 8.495
Se 0.000 2.979 2.076
Se 0.000 2.979 6.334

# 17
20
Lattice="11.783 0.000 0.000 0.000 4.214 0.000 -3.902 0.000 11.459" Properties=species:S:1:pos:R:3 comment="NdSm3Se6 | the Alexandria database | PBE | relaxed" magmom_total_mub_per_fu=0.000 formation_energy_uncorrected_ev_per_atom=-1.882 polymorph_energy_kj_per_mol_atoms=0.00 pbc="T T T"
Nd -0.220 1.053 2.201
Nd 8.102 3.160 9.258
Sm -0.398 1.053 6.688
Sm -0.142 3.160 11.433
Sm 3.809 1.053 3.803
Sm 4.073 3.160 7.656
Sm 8.024 1.053 0.026
Sm 8.280 3.160 4.771
Se -0.578 3.160 4.599
Se -2.427 1.053 11.049
Se -0.660 3.160 8.593
Se 2.129 3.160 2.560
Se 2.484 1.053 6.446
Se 5.219 1.053 1.310
Se 2.663 3.160 10.149
Se 5.398 3.160 5.013
Se 5.752 1.053 8.899
Se 8.542 1.053 2.866
Se 10.309 3.160 0.410
Se 8.460 1.053 6.860

# 18
8
Lattice="4.260 -5.967 0.000 4.260 5.967 0.000 0.000 0.000 4.171" Properties=species:S:1:pos:R:3 comment="Nd3SmSe4 | the Alexandria database | PBE | relaxed" magmom_total_mub_per_fu=0.000 formation_energy_uncorrected_ev_per_atom=-1.831 polymorph_energy_kj_per_mol_atoms=0.41 pbc="T T T"
Nd 0.000 0.000 0.000
Nd 2.130 2.983 2.086
Nd 2.130 -2.983 2.086
Sm 4.260 0.000 0.000
Se 4.260 2.962 0.000
Se 2.160 0.000 2.086
Se 6.361 0.000 2.086
Se 4.260 -2.962 0.000

# 19
14
Lattice="2.039 -6.903 0.000 2.039 6.903 0.000 0.000 0.000 14.074" Properties=species:S:1:pos:R:3 comment="NdSm2Se4 | the Alexandria database | PBE | relaxed" magmom_total_mub_per_fu=0.000 formation_energy_uncorrected_ev_per_atom=-1.863 polymorph_energy_kj_per_mol_atoms=0.00 pbc="T T T"
Nd 2.039 5.168 10.555
Nd 2.039 -5.168 3.518
Sm 2.039 1.795 8.012
Sm 2.039 1.795 13.099
Sm 2.039 -1.795 0.975
Sm 2.039 -1.795 6.062
Se 0.000 0.000 0.000
Se 0.000 0.000 7.037
Se 2.039 3.092 1.717
Se 2.039 3.092 5.320
Se 2.039 0.432 10.555
Se 2.039 -0.432 3.518
Se 2.039 -3.092 8.754
Se 2.039 -3.092 12.357